# 1
VASP calculation (GGA-PBE) on an optimized crystal structure of Cd2C.

Geometry as CIF:
```
data_Cd2C
_chemical_formula_sum 'Cd2 C1'
_cell_length_a 5.8624
_cell_length_b 5.8624
_cell_length_c 5.8624
_cell_angle_alpha 150.07
_cell_angle_beta 150.07
_cell_angle_gamma 42.83
_space_group_name_H-M_alt 'P 1'
_space_group_IT_number 1
_space_group_name_Hall 'P 1'
loop_
_atom_site_label
_atom_site_fract_x
_atom_site_fract_y
_atom_site_fract_z
C1 0.5000 0.5000 0.0000
Cd1 0.8630 0.8630 0.0000
Cd2 0.1370 0.1370 0.0000
```

Properties
Size of the total moment: 0.0 μB per cell
VASP energy: -2.27 eV per atom
Energy of formation from the pure elements: 1414 meV/atom
DOS(E_F): 0.9 states/eV/f.u.
Polymorph energy (0 for the lowest one): 671 meV per atom


# 2
VASP calculation (GGA-PBE) on an optimized crystal structure of Tb6Sm4Dy19.

Geometry as CIF:
```
data_Tb6Sm4Dy19
_chemical_formula_sum 'Tb6 Sm4 Dy19'
_cell_length_a 10.7758
_cell_length_b 10.7759
_cell_length_c 10.7758
_cell_angle_alpha 109.47
_cell_angle_beta 109.47
_cell_angle_gamma 109.47
_space_group_name_H-M_alt 'P 1'
_space_group_IT_number 1
_space_group_name_Hall 'P 1'
loop_
_atom_site_label
_atom_site_fract_x
_atom_site_fract_y
_atom_site_fract_z
Tb1 0.3746 0.5000 0.8746
Dy1 0.7832 0.9836 0.3242
Dy2 0.0000 0.0000 0.0000
Tb2 0.5000 0.8746 0.3746
Dy3 0.0164 0.7996 0.3406
Dy4 0.7406 0.0000 0.7406
Dy5 0.7406 0.7406 0.0000
Dy6 0.3406 0.0164 0.7996
Sm1 0.0000 0.0000 0.6399
Dy7 0.3242 0.7832 0.9836
Tb3 0.5000 0.1254 0.6254
Tb4 0.1254 0.6254 0.5000
Dy8 0.2594 0.0000 0.2594
Dy9 0.2004 0.2168 0.5410
Dy10 0.4590 0.6758 0.6594
Dy11 0.5410 0.2004 0.2168
Tb5 0.6254 0.5000 0.1254
Dy12 0.7996 0.3406 0.0164
Dy13 0.9836 0.3242 0.7832
Dy14 0.2168 0.5410 0.2004
Dy15 0.0000 0.2594 0.2594
Dy16 0.6594 0.4590 0.6758
Dy17 0.6758 0.6594 0.4590
Sm2 0.0000 0.6399 0.0000
Sm3 0.3601 0.3601 0.3601
Sm4 0.6399 0.0000 0.0000
Dy18 0.2594 0.2594 0.0000
Tb6 0.8746 0.3746 0.5000
Dy19 0.0000 0.7406 0.7406
```

Properties
Size of the total moment: 0.0 μB per cell
VASP energy: -4.24 eV per atom
Energy of formation from the pure elements: 383 meV/atom
DOS(E_F): 40.7 states/eV/f.u.


# 3
VASP calculation (GGA-PBE) on an optimized crystal structure of ZrCd2Hg.

Geometry as CIF:
```
data_ZrCd2Hg
_chemical_formula_sum 'Zr1 Cd2 Hg1'
_cell_length_a 10.7495
_cell_length_b 10.7495
_cell_length_c 10.7495
_cell_angle_alpha 16.86
_cell_angle_beta 16.86
_cell_angle_gamma 16.86
_space_group_name_H-M_alt 'P 1'
_space_group_IT_number 1
_space_group_name_Hall 'P 1'
loop_
_atom_site_label
_atom_site_fract_x
_atom_site_fract_y
_atom_site_fract_z
Cd1 0.4984 0.4984 0.4984
Zr1 0.7500 0.7500 0.7500
Cd2 0.0016 0.0016 0.0016
Hg1 0.2500 0.2500 0.2500
```

Properties
Size of the total moment: 0.0 μB per cell
VASP energy: -2.64 eV per atom
Energy of formation from the pure elements: 31 meV/atom
DOS(E_F): 3.6 states/eV/f.u.